## i
PdBrN2: optimized geometry, PBE.

abc: 5.697 5.697 5.554
angles: 59.15 59.15 90.00
Element x y z (fractional)
Br (0.500, 0.500, 0.000)
Br (0.250, 0.750, 0.500)
Pd (0.000, 0.000, 0.000)
Pd (0.750, 0.250, 0.500)
N (0.700, 0.125, 0.250)
N (0.050, 0.625, 0.250)
N (0.375, 0.300, 0.750)
N (0.875, 0.950, 0.750)

***

## ii
PdBrN2: optimized geometry, PBE.

abc: 6.276 6.276 6.276
angles: 30.23 30.23 30.23
Element x y z (fractional)
Br (0.000, 0.000, 0.000)
Pd (0.500, 0.500, 0.500)
N (0.886, 0.886, 0.886)
N (0.114, 0.114, 0.114)

***

Which one is most stable, and which one is least stable? ii is the most stable of them, while i is the least stable.

***

## i
PdS2BrN: optimized geometry, PBE.

abc: 4.976 4.976 3.737
angles: 90.00 90.00 90.00
Element x y z (fractional)
S (0.000, 0.500, 0.000)
S (0.500, 0.000, 0.000)
Br (0.500, 0.500, 0.500)
Pd (0.000, 0.000, 0.000)
N (0.000, 0.000, 0.500)

***

## ii
PdS2BrN: optimized geometry, PBE.

abc: 4.989 4.989 3.619
angles: 90.00 90.00 90.00
Element x y z (fractional)
S (0.000, 0.500, 0.000)
S (0.500, 0.000, 0.000)
Br (0.000, 0.000, 0.000)
Pd (0.500, 0.500, 0.500)
N (0.000, 0.000, 0.500)

***

Which one is most stable, and which one is least stable? i is the most stable of them, while ii is the least stable.

***

## i
PdSeBrN2: optimized geometry, PBE.

abc: 3.744 3.744 7.369
angles: 90.00 90.00 90.00
Element x y z (fractional)
Se (0.000, 0.000, 0.500)
Br (0.000, 0.000, 0.000)
Pd (0.500, 0.500, 0.500)
N (0.000, 0.500, 0.000)
N (0.500, 0.000, 0.000)

***

## ii
PdSeBrN2: optimized geometry, PBE.

abc: 3.820 8.437 3.820
angles: 90.00 90.00 90.00
Element x y z (fractional)
Se (0.500, 0.500, 0.500)
Br (0.000, 0.500, 0.000)
Pd (0.000, 0.000, 0.000)
N (0.000, 0.000, 0.500)
N (0.500, 0.000, 0.000)

***

## iii
PdSeBrN2: optimized geometry, PBE.

abc: 4.015 4.015 5.663
angles: 90.00 90.00 90.00
Element x y z (fractional)
Se (0.000, 0.000, 0.500)
Br (0.500, 0.500, 0.500)
Pd (0.000, 0.000, 0.000)
N (0.000, 0.500, 0.000)
N (0.500, 0.000, 0.000)

***

Which one is most stable, and which one is least stable? iii is the most stable of them, while i is the least stable.